[1]
The following is a DFT calculation (PBE) of crystalline TaRe3Ru at its relaxed geometry.

As for the size of the total moment: 0.001 Bohr magnetons per cell. The uncorrected energy is -45.61 eV for the cell shown. The calculated density is 13.72 g cm⁻³. The excess energy over the best structure of this formula in the dataset is 2.90 eV/f.u. As for the symmetry: Pm-3m (221). For the energy relative to the elements, the calculation gives 2.572 eV per atom.

Lattice parameters (Å, degrees): 4.6686 4.6686 4.6686 90.00 90.00 90.00
Last column: nearest neighbours and their distance in Å.
Element x y z (fractional)
Ta 0.0000 0.0000 0.0000  6 Re 2.33
Re 0.0000 0.0000 0.5000  2 Ta 2.33
Re 0.0000 0.5000 0.0000  2 Ta 2.33
Re 0.5000 0.0000 0.0000  2 Ta 2.33
Ru 0.5000 0.5000 0.5000  12 Re 3.30

---

[2]
The following is a DFT calculation (PBE) of crystalline TaRe2Ru at its relaxed geometry.

As for the size of the total moment: 0.000 Bohr magnetons per cell. The uncorrected energy is -45.81 eV for the cell shown. The calculated density is 17.38 g cm⁻³. The excess energy over the best structure of this formula in the dataset is 0.34 eV/f.u. As for the symmetry: Pmmm (47). For the energy relative to the elements, the calculation gives 0.054 eV per atom.

Lattice parameters (Å, degrees): 2.7476 3.9790 5.7192 90.00 90.00 90.00
Last column: nearest neighbours and their distance in Å.
Element x y z (fractional)
Ta 0.0000 0.0000 0.0000  2 Ta 2.75, 2 Ru 2.86, 8 Re 2.87
Re 0.5000 0.5000 0.2712  3 Re 2.62-2.75, 4 Ru 2.75, 4 Ta 2.87
Re 0.5000 0.5000 0.7288  3 Re 2.62-2.75, 4 Ru 2.75, 4 Ta 2.87
Ru 0.0000 0.0000 0.5000  2 Ru 2.75, 8 Re 2.75, 2 Ta 2.86

---

[3]
The following is a DFT calculation (PBE) of crystalline TaRe2Ru at its relaxed geometry.

As for the size of the total moment: 0.000 Bohr magnetons per cell. The uncorrected energy is -45.96 eV for the cell shown. The calculated density is 17.46 g cm⁻³. The excess energy over the best structure of this formula in the dataset is 0.19 eV/f.u. As for the symmetry: Pm (6). For the energy relative to the elements, the calculation gives 0.017 eV per atom.

Lattice parameters (Å, degrees): 2.7625 4.3144 5.3634 90.00 103.23 90.00
Last column: nearest neighbours and their distance in Å.
Element x y z (fractional)
Ta 0.0000 0.0000 0.0000  2 Ru 2.59, 4 Re 2.70-2.73, 2 Ta 2.76
Re 0.5258 0.0000 0.4935  6 Re 2.69-2.97, 2 Ta 2.71-2.73, 4 Ru 2.90-2.98
Re 0.8207 0.5000 0.2679  2 Ru 2.65-2.85, 4 Re 2.69-2.76, 2 Ta 2.70
Ru 0.1774 0.5000 0.7701  2 Ta 2.59, 2 Re 2.65-2.85, 2 Ru 2.76

---

[4]
The following is a DFT calculation (PBE) of crystalline TaRe2Ru at its relaxed geometry.

As for the size of the total moment: 0.000 Bohr magnetons per cell. The uncorrected energy is -45.92 eV for the cell shown. The calculated density is 17.49 g cm⁻³. The excess energy over the best structure of this formula in the dataset is 0.23 eV/f.u. As for the symmetry: Pmmm (47). For the energy relative to the elements, the calculation gives 0.025 eV per atom.

Lattice parameters (Å, degrees): 3.1283 4.3746 4.5413 90.00 90.00 90.00
Last column: nearest neighbours and their distance in Å.
Element x y z (fractional)
Ta 0.0000 0.0000 0.0000  4 Ru 2.69, 4 Re 2.76
Re 0.0000 0.5000 0.5000  4 Re 2.69, 4 Ru 2.76
Re 0.5000 0.0000 0.5000  4 Re 2.69, 4 Ta 2.76
Ru 0.5000 0.5000 0.0000  4 Ta 2.69, 4 Re 2.76